No. 1
Computed, not measured: a geometry-optimized EuNiSnPd structure at the GGA-PBE level of DFT.

Output
- Mass density: 9.26 g/cm3
- E_form: -0.388 eV/atom
- Final energy: -107.2 eV for the cell shown

Lattice parameters (Å, degrees): 6.788 6.788 6.788 90.00 90.00 90.00
Fractional positions:
Eu (0.000, 0.000, 0.000)
Eu (0.000, 0.500, 0.500)
Eu (0.500, 0.000, 0.500)
Eu (0.500, 0.500, 0.000)
Ni (0.250, 0.250, 0.250)
Ni (0.250, 0.750, 0.750)
Ni (0.750, 0.250, 0.750)
Ni (0.750, 0.750, 0.250)
Sn (0.000, 0.000, 0.500)
Sn (0.000, 0.500, 0.000)
Sn (0.500, 0.000, 0.000)
Sn (0.500, 0.500, 0.500)
Pd (0.250, 0.250, 0.750)
Pd (0.250, 0.750, 0.250)
Pd (0.750, 0.250, 0.250)
Pd (0.750, 0.750, 0.750)

***

No. 2
Computed, not measured: a geometry-optimized Nd2AlS structure at the GGA-PBE level of DFT.

Output
- Mass density: 5.60 g/cm3
- Raw formation energy: -1.199 eV/atom
- ΔE to the lowest computed polymorph: 0.000 eV/f.u.
- Final energy: -88.8 eV for the cell shown

Lattice parameters (Å, degrees): 4.053 23.733 4.287 90.00 90.00 90.00
Fractional positions:
Nd (0.000, 0.074, 0.250)
Nd (0.000, 0.312, 0.250)
Nd (0.000, 0.688, 0.750)
Nd (0.000, 0.926, 0.750)
Nd (0.500, 0.188, 0.750)
Nd (0.500, 0.426, 0.750)
Nd (0.500, 0.574, 0.250)
Nd (0.500, 0.812, 0.250)
Al (0.000, 0.466, 0.250)
Al (0.000, 0.534, 0.750)
Al (0.500, 0.034, 0.750)
Al (0.500, 0.966, 0.250)
S (0.000, 0.193, 0.250)
S (0.000, 0.807, 0.750)
S (0.500, 0.307, 0.750)
S (0.500, 0.693, 0.250)

***

No. 3
Computed, not measured: a geometry-optimized ZrWS structure at the GGA-PBE level of DFT.

Output
- Mass density: 9.33 g/cm3
- Raw formation energy: -0.830 eV/atom
- Final energy: -56.2 eV for the cell shown

Lattice parameters (Å, degrees): 3.423 3.423 9.327 90.00 90.00 90.00
Fractional positions:
Zr (0.250, 0.250, 0.235)
Zr (0.750, 0.750, 0.765)
W (0.250, 0.250, 0.574)
W (0.750, 0.750, 0.426)
S (0.250, 0.250, 0.858)
S (0.750, 0.750, 0.142)

***

- final energy of number 2 (Nd2AlS)?
  -88.8 eV for the cell shown

***

- What is the final energy in the first record?
  -107.2 eV for the cell shown

***

- Which value of final energy does entry 1 give?
  -107.2 eV for the cell shown